(1)
A relaxed MnAl2Pb crystal, computed with PBE.

CIF file:
```
data_MnAl2Pb
_cell_length_a 4.1798
_cell_length_b 4.1798
_cell_length_c 8.7096
_cell_angle_alpha 90.00
_cell_angle_beta 90.00
_cell_angle_gamma 90.00
_space_group_name_H-M_alt 'I -4 m 2'
_space_group_IT_number 119
_space_group_name_Hall 'I -4 -2'
loop_
_atom_site_label
_atom_site_type_symbol
_atom_site_fract_x
_atom_site_fract_y
_atom_site_fract_z
Mn1 Mn 0.0000 0.0000 0.0000
Al1 Al 0.0000 0.0000 0.5000
Al2 Al 0.0000 0.5000 0.2500
Pb1 Pb 0.0000 0.5000 0.7500
```

V = 19.020 Å³/atom
E_form = 0.307 eV/atom

(2)
A relaxed CsK4Na9 crystal, computed with PBE.

CIF file:
```
data_CsK4Na9
_cell_length_a 12.8384
_cell_length_b 12.8384
_cell_length_c 18.0732
_cell_angle_alpha 90.00
_cell_angle_beta 90.00
_cell_angle_gamma 90.00
_space_group_name_H-M_alt 'I 4/m c m'
_space_group_IT_number 140
_space_group_name_Hall '-I 4 2c'
loop_
_atom_site_label
_atom_site_type_symbol
_atom_site_fract_x
_atom_site_fract_y
_atom_site_fract_z
Cs1 Cs 0.0000 0.0000 0.2500
K1 K 0.1914 0.3086 0.1305
Na1 Na 0.0000 0.5000 0.0000
Na2 Na 0.0514 0.2042 0.5000
Na3 Na 0.1000 0.4000 0.3287
```

V = 53.194 Å³/atom
E_form = 0.039 eV/atom

(3)
A relaxed Sr5Tl3Br12 crystal, computed with PBE.

CIF file:
```
data_Sr5Tl3Br12
_cell_length_a 19.0131
_cell_length_b 19.0131
_cell_length_c 19.0131
_cell_angle_alpha 90.00
_cell_angle_beta 90.00
_cell_angle_gamma 90.00
_space_group_name_H-M_alt 'I a -3 d'
_space_group_IT_number 230
_space_group_name_Hall '-I 4bd 2c 3'
loop_
_atom_site_label
_atom_site_type_symbol
_atom_site_fract_x
_atom_site_fract_y
_atom_site_fract_z
Sr1 Sr 0.0000 0.0000 0.0000
Sr2 Sr 0.0000 0.2500 0.3750
Tl1 Tl 0.0000 0.2500 0.1250
Br1 Br 0.0282 0.0624 0.6467
```

V = 42.957 Å³/atom
uncorrected formation energy = -1.61 eV per atom